The following is a PBE calculation of a relaxed Tb3HoEr3S8 crystal, from Alexandria.

Output
E ... -0.4697 Ry/atom
Formation energy (no corrections) ... -30.68 eV/f.u.
N(E_F) ... 6.1 states/eV/f.u.

Cell lengths 7.767, 7.767, 7.784 Å; angles 119.93, 90.00, 120.00 degrees
Fractional positions:
1 Tb 0.000 0.000 0.000
2 Tb 0.000 0.500 0.000
3 Tb 0.500 0.500 0.000
4 Ho 0.000 0.000 0.500
5 Er 0.500 0.000 0.500
6 Er 0.500 0.500 0.500
7 Er 0.000 0.500 0.500
8 S 0.252 0.504 0.256
9 S 0.748 0.496 0.744
10 S 0.750 0.499 0.253
11 S 0.250 0.501 0.747
12 S 0.750 0.004 0.253
13 S 0.250 0.996 0.747
14 S 0.254 0.004 0.253
15 S 0.746 0.996 0.747